{"formula": "PaMnPt2O8", "functional": "PBE+U", "state": "relaxed", "dft_energy_ev_per_atom": -6.9631, "dos_ef_per_ev_cell": 4.27, "cell": [[5.972, 0.386, 0.000], [-2.303, 5.524, 0.000], [-1.835, -2.955, 4.870]], "species": ["Pa", "Mn", "Pt", "Pt", "O", "O", "O", "O", "O", "O", "O", "O"], "frac_coords": [[0.000, 0.000, 0.000], [0.250, 0.750, 0.500], [0.750, 0.250, 0.500], [0.500, 0.500, 0.000], [0.358, 0.034, 0.324], [0.284, 0.462, 0.178], [0.284, 0.106, 0.822], [0.710, 0.034, 0.676], [0.894, 0.716, 0.178], [0.966, 0.290, 0.324], [0.966, 0.642, 0.676], [0.538, 0.716, 0.822]]}